Entry 1:
Material: TlP2Ir
Method: DFT, GGA-PBE
State: optimized geometry

Output
energy relative to the lowest polymorph listed for this composition = 1.060 eV/f.u.
energy of formation = 0.12 eV/atom

a = 3.508 Å, b = 3.511 Å, c = 13.321 Å
α = 90.00°, β = 90.00°, γ = 90.00°
Space group Imm2 (No. 44)
Unique sites:
1 Tl 0.000 0.000 0.000
2 P 0.000 0.000 0.329
3 P 0.000 0.500 0.206
4 Ir 0.000 0.500 0.708

---

Entry 2:
Material: TlP2Ir
Method: DFT, GGA-PBE
State: optimized geometry

Output
energy relative to the lowest polymorph listed for this composition = 0.481 eV/f.u.
energy of formation = -0.02 eV/atom

a = 6.039 Å, b = 6.039 Å, c = 10.503 Å
α = 90.00°, β = 90.00°, γ = 90.00°
Space group I-42d (No. 122)
Unique sites:
1 Tl 0.000 0.000 0.000
2 P 0.172 0.250 0.625
3 Ir 0.000 0.000 0.500